(1)
First-principles (SCAN) data for a PBEsol-optimized structure of CoRuC2Br, as listed in Alexandria. Values from VASP.

```
&SYSTEM
  ibrav = 0, nat = 5, ntyp = 4
/
ATOMIC_SPECIES
Co 58.93 Co.upf
C 12.01 C.upf
Ru 101.07 Ru.upf
Br 79.90 Br.upf
CELL_PARAMETERS angstrom
3.906 0.000 0.000
0.000 3.906 0.000
0.000 0.000 4.158
ATOMIC_POSITIONS crystal
Co 0.000 0.000 0.500
C 0.000 0.500 0.000
C 0.500 0.000 0.000
Ru 0.500 0.500 0.500
Br 0.000 0.000 0.000
```

Output
total DFT energy (no corrections) = -15.08 eV/atom
M_tot = 0.516 μB/atom
V = 12.7 Å³ per atom
energy relative to the elements, uncorrected = 3.278 eV per atom

(2)
First-principles (SCAN) data for a PBEsol-optimized structure of Zr15VO32, as listed in Alexandria. Values from VASP.

```
&SYSTEM
  ibrav = 0, nat = 48, ntyp = 3
/
ATOMIC_SPECIES
Zr 91.22 Zr.upf
O 16.00 O.upf
V 50.94 V.upf
CELL_PARAMETERS angstrom
5.190 0.001 -0.001
-0.027 10.213 0.002
-0.021 -1.766 10.418
ATOMIC_POSITIONS crystal
Zr 0.456 0.139 0.855
Zr 0.453 0.637 0.355
Zr 0.458 0.638 0.854
Zr 0.042 0.141 0.604
Zr 0.542 0.864 0.147
Zr 0.543 0.862 0.644
Zr 0.955 0.362 0.896
Zr 0.959 0.861 0.895
Zr 0.953 0.354 0.394
Zr 0.042 0.637 0.603
Zr 0.539 0.358 0.642
Zr 0.042 0.640 0.105
Zr 0.044 0.140 0.108
Zr 0.956 0.865 0.394
Zr 0.544 0.359 0.148
O 0.338 0.534 0.668
O 0.760 0.223 0.240
O 0.243 0.776 0.759
O 0.253 0.269 0.265
O 0.743 0.724 0.990
O 0.661 0.464 0.829
O 0.173 0.033 0.926
O 0.160 0.533 0.420
O 0.741 0.725 0.489
O 0.757 0.724 0.739
O 0.667 0.980 0.332
O 0.256 0.277 0.012
O 0.839 0.966 0.576
O 0.254 0.273 0.508
O 0.743 0.223 0.990
O 0.757 0.224 0.739
O 0.255 0.777 0.509
O 0.184 0.039 0.417
O 0.666 0.466 0.330
O 0.332 0.034 0.672
O 0.242 0.778 0.260
O 0.341 0.039 0.181
O 0.241 0.276 0.760
O 0.335 0.535 0.171
O 0.727 0.217 0.484
O 0.756 0.731 0.242
O 0.834 0.466 0.080
O 0.839 0.460 0.579
O 0.161 0.537 0.920
O 0.260 0.777 0.011
O 0.670 0.966 0.827
O 0.839 0.965 0.080
V 0.446 0.131 0.352
```

Output
total DFT energy (no corrections) = -17.81 eV/atom
M_tot = 0.021 μB/atom
V = 11.5 Å³ per atom
energy relative to the elements, uncorrected = -3.702 eV per atom

(3)
First-principles (SCAN) data for a PBEsol-optimized structure of ZnAu3, as listed in Alexandria. Values from VASP.

```
&SYSTEM
  ibrav = 0, nat = 4, ntyp = 2
/
ATOMIC_SPECIES
Zn 65.41 Zn.upf
Au 196.97 Au.upf
CELL_PARAMETERS angstrom
-2.709 0.214 1.024
-2.010 -1.939 -0.794
0.641 -5.709 7.005
ATOMIC_POSITIONS crystal
Zn 0.500 0.500 0.500
Au 0.244 0.244 0.267
Au 0.000 0.000 0.000
Au 0.756 0.756 0.733
```

Output
ΔE_f = -0.11 eV/atom
total DFT energy (no corrections) = -55.35 eV/atom
M_tot = 0.000 μB/atom
V = 16.3 Å³ per atom

(4)
First-principles (SCAN) data for a PBEsol-optimized structure of Sr2CdRh, as listed in Alexandria. Values from VASP.

```
&SYSTEM
  ibrav = 0, nat = 4, ntyp = 3
/
ATOMIC_SPECIES
Cd 112.41 Cd.upf
Sr 87.62 Sr.upf
Rh 102.91 Rh.upf
CELL_PARAMETERS angstrom
-4.228 -1.241 0.727
-0.599 -0.534 -4.394
3.796 -4.856 0.072
ATOMIC_POSITIONS crystal
Cd 0.815 0.000 0.630
Sr 0.111 0.000 0.221
Sr 0.393 0.500 0.786
Rh 0.685 0.500 0.370
```

Output
ΔE_f = -0.31 eV/atom
total DFT energy (no corrections) = -27.49 eV/atom
M_tot = 0.000 μB/atom
V = 28.7 Å³ per atom

(5)
First-principles (SCAN) data for a PBEsol-optimized structure of YGe3Au, as listed in Alexandria. Values from VASP.

```
&SYSTEM
  ibrav = 0, nat = 5, ntyp = 3
/
ATOMIC_SPECIES
Ge 72.64 Ge.upf
Au 196.97 Au.upf
Y 88.91 Y.upf
CELL_PARAMETERS angstrom
4.952 0.000 0.000
0.000 4.952 0.000
0.000 0.000 4.952
ATOMIC_POSITIONS crystal
Ge 0.500 0.000 0.000
Ge 0.000 0.000 0.500
Ge 0.000 0.500 0.000
Au 0.000 0.000 0.000
Y 0.500 0.500 0.500
```

Output
ΔE_f = 0.24 eV/atom
total DFT energy (no corrections) = -30.62 eV/atom
M_tot = 0.000 μB/atom
V = 24.3 Å³ per atom

(6)
First-principles (SCAN) data for a PBEsol-optimized structure of TiCdAs2, as listed in Alexandria. Values from VASP.

```
&SYSTEM
  ibrav = 0, nat = 4, ntyp = 3
/
ATOMIC_SPECIES
Cd 112.41 Cd.upf
As 74.92 As.upf
Ti 47.87 Ti.upf
CELL_PARAMETERS angstrom
-3.803 0.860 -2.577
-1.466 -3.150 -3.127
-3.936 -2.400 0.769
ATOMIC_POSITIONS crystal
Cd 0.500 0.500 0.500
As 0.750 0.750 0.750
As 0.250 0.250 0.250
Ti 0.000 0.000 0.000
```

Output
ΔE_f = 0.00 eV/atom
total DFT energy (no corrections) = -21.71 eV/atom
M_tot = 0.001 μB/atom
V = 18.1 Å³ per atom